(P)
A relaxed ZnB4O7 crystal. Source: OQMD, functional GGA-PBE.

```
ZnB4O7
1.0
5.407 -3.238 0.000
5.407 3.238 0.000
0.000 0.000 5.166
Zn B O
2 8 14
Direct
0.234 0.766 0.750
0.766 0.234 0.250
0.074 0.691 0.250
0.297 0.297 0.000
0.297 0.297 0.500
0.309 0.926 0.250
0.691 0.074 0.750
0.703 0.703 0.000
0.703 0.703 0.500
0.926 0.309 0.750
0.078 0.922 0.250
0.189 0.555 0.022
0.189 0.555 0.478
0.197 0.243 0.750
0.243 0.197 0.250
0.445 0.811 0.022
0.445 0.811 0.478
0.555 0.189 0.522
0.555 0.189 0.978
0.757 0.803 0.750
0.803 0.757 0.250
0.811 0.445 0.522
0.811 0.445 0.978
0.922 0.078 0.750
```

Summary:
* symmetry: Cmcm

=====

(Q)
A relaxed ZnB4O7 crystal. Source: OQMD, functional GGA-PBE.

```
ZnB4O7
1.0
8.022 0.000 0.000
0.000 8.586 0.000
0.000 0.000 13.720
Zn B O
8 32 56
Direct
0.104 0.121 0.117
0.104 0.379 0.617
0.396 0.621 0.117
0.396 0.879 0.617
0.604 0.121 0.383
0.604 0.379 0.883
0.896 0.621 0.383
0.896 0.879 0.883
0.033 0.579 0.168
0.033 0.921 0.668
0.037 0.154 0.769
0.037 0.346 0.269
0.080 0.700 0.563
0.080 0.800 0.063
0.169 0.131 0.462
0.169 0.369 0.962
0.331 0.631 0.462
0.331 0.869 0.962
0.420 0.200 0.563
0.420 0.300 0.063
0.463 0.654 0.769
0.463 0.846 0.269
0.467 0.079 0.168
0.467 0.421 0.668
0.533 0.579 0.332
0.533 0.921 0.832
0.537 0.154 0.731
0.537 0.346 0.231
0.580 0.700 0.937
0.580 0.800 0.437
0.669 0.131 0.038
0.669 0.369 0.538
0.831 0.631 0.038
0.831 0.869 0.538
0.920 0.200 0.937
0.920 0.300 0.437
0.963 0.654 0.731
0.963 0.846 0.231
0.967 0.079 0.332
0.967 0.421 0.832
0.016 0.595 0.643
0.016 0.905 0.143
0.018 0.190 0.248
0.018 0.310 0.748
0.067 0.249 0.997
0.067 0.251 0.497
0.109 0.061 0.702
0.109 0.439 0.202
0.120 0.044 0.385
0.120 0.456 0.885
0.154 0.664 0.108
0.154 0.836 0.608
0.180 0.603 0.503
0.180 0.897 0.003
0.320 0.103 0.503
0.320 0.397 0.003
0.346 0.164 0.108
0.346 0.336 0.608
0.380 0.544 0.385
0.380 0.956 0.885
0.391 0.561 0.702
0.391 0.939 0.202
0.433 0.749 0.997
0.433 0.751 0.497
0.482 0.690 0.248
0.482 0.810 0.748
0.484 0.095 0.643
0.484 0.405 0.143
0.516 0.595 0.857
0.516 0.905 0.357
0.518 0.190 0.252
0.518 0.310 0.752
0.567 0.249 0.503
0.567 0.251 0.003
0.609 0.061 0.798
0.609 0.439 0.298
0.620 0.044 0.115
0.620 0.456 0.615
0.654 0.664 0.392
0.654 0.836 0.892
0.680 0.603 0.997
0.680 0.897 0.497
0.820 0.103 0.997
0.820 0.397 0.497
0.846 0.164 0.392
0.846 0.336 0.892
0.880 0.544 0.115
0.880 0.956 0.615
0.891 0.561 0.798
0.891 0.939 0.298
0.933 0.749 0.503
0.933 0.751 0.003
0.982 0.690 0.252
0.982 0.810 0.752
0.984 0.095 0.857
0.984 0.405 0.357
```

Summary:
* symmetry: Pbca

=====

Energies relative to the minimum, meV per atom: (P) 52; (Q) 0

=====

(P)
A relaxed B4OsPb crystal. Source: OQMD, functional GGA-PBE.

```
B4OsPb
1.0
3.035 0.000 0.000
-1.518 2.629 0.000
0.000 0.000 8.775
B Os Pb
4 1 1
Direct
0.333 0.667 0.188
0.333 0.667 0.812
0.667 0.333 0.188
0.667 0.333 0.812
0.000 0.000 0.000
0.000 0.000 0.500
```

Summary:
* size of the total moment: 0.36 μB per formula unit
* symmetry: P6/mmm

=====

(Q)
A relaxed B4OsPb crystal. Source: OQMD, functional GGA-PBE.

```
B4OsPb
1.0
-1.508 2.797 3.847
1.508 -2.797 3.847
1.508 2.797 -3.847
B Os Pb
4 1 1
Direct
0.078 0.235 0.843
0.392 0.235 0.157
0.608 0.765 0.843
0.922 0.765 0.157
0.000 0.500 0.500
0.500 0.000 0.500
```

Summary:
* size of the total moment: 0.40 μB per formula unit
* symmetry: Immm

=====

Energies relative to the minimum, meV per atom: (P) 0; (Q) 340

=====

(P)
A relaxed B4OsPd crystal. Source: OQMD, functional GGA-PBE.

```
B4OsPd
1.0
3.007 0.000 0.000
-1.503 2.604 0.000
0.000 0.000 7.066
B Os Pd
4 1 1
Direct
0.333 0.667 0.235
0.333 0.667 0.765
0.667 0.333 0.235
0.667 0.333 0.765
0.000 0.000 0.000
0.000 0.000 0.500
```

Summary:
* size of the total moment: 0.38 μB per formula unit
* symmetry: P6/mmm

=====

(Q)
A relaxed B4OsPd crystal. Source: OQMD, functional GGA-PBE.

```
B4OsPd
1.0
-1.499 2.698 3.343
1.499 -2.698 3.343
1.499 2.698 -3.343
B Os Pd
4 1 1
Direct
0.086 0.249 0.837
0.413 0.249 0.163
0.587 0.751 0.837
0.914 0.751 0.163
0.500 0.000 0.500
0.000 0.500 0.500
```

Summary:
* size of the total moment: 0.00 μB per formula unit
* symmetry: Immm

=====

Energies relative to the minimum, meV per atom: (P) 26; (Q) 0

=====

(P)
A relaxed PmB4Os crystal. Source: OQMD, functional GGA-PBE.

```
PmB4Os
1.0
3.252 0.000 0.000
-1.626 2.816 0.000
0.000 0.000 6.927
Pm B Os
1 4 1
Direct
0.000 0.000 0.000
0.333 0.667 0.292
0.333 0.667 0.708
0.667 0.333 0.292
0.667 0.333 0.708
0.000 0.000 0.500
```

Summary:
* size of the total moment: 0.02 μB per formula unit
* symmetry: P6/mmm

=====

(Q)
A relaxed PmB4Os crystal. Source: OQMD, functional GGA-PBE.

```
PmB4Os
1.0
-1.592 2.699 3.712
1.592 -2.699 3.712
1.592 2.699 -3.712
Pm B Os
1 4 1
Direct
0.000 0.000 0.000
0.087 0.752 0.335
0.416 0.752 0.665
0.584 0.248 0.335
0.913 0.248 0.665
0.500 0.500 0.000
```

Summary:
* size of the total moment: 0.05 μB per formula unit
* symmetry: Immm

=====

Energies relative to the minimum, meV per atom: (P) 0; (Q) 99

=====

(P)
A relaxed B4OsPt crystal. Source: OQMD, functional GGA-PBE.

```
B4OsPt
1.0
3.018 0.000 0.000
-1.509 2.614 0.000
0.000 0.000 7.081
B Os Pt
4 1 1
Direct
0.333 0.667 0.236
0.333 0.667 0.764
0.667 0.333 0.236
0.667 0.333 0.764
0.000 0.000 0.000
0.000 0.000 0.500
```

Summary:
* size of the total moment: 0.25 μB per formula unit
* symmetry: P6/mmm

=====

(Q)
A relaxed B4OsPt crystal. Source: OQMD, functional GGA-PBE.

```
B4OsPt
1.0
-1.482 2.749 3.377
1.482 -2.749 3.377
1.482 2.749 -3.377
B Os Pt
4 1 1
Direct
0.086 0.248 0.838
0.410 0.248 0.162
0.590 0.752 0.838
0.914 0.752 0.162
0.500 0.000 0.500
0.000 0.500 0.500
```

Summary:
* size of the total moment: 0.00 μB per formula unit
* symmetry: Immm

=====

Energies relative to the minimum, meV per atom: (P) 6; (Q) 0

=====

(P)
A relaxed B4SbOs crystal. Source: OQMD, functional GGA-PBE.

```
B4SbOs
1.0
-1.515 2.705 3.794
1.515 -2.705 3.794
1.515 2.705 -3.794
B Sb Os
4 1 1
Direct
0.079 0.241 0.837
0.404 0.241 0.163
0.596 0.759 0.837
0.921 0.759 0.163
0.500 0.000 0.500
0.000 0.500 0.500
```

Summary:
* size of the total moment: 0.60 μB per formula unit
* symmetry: Immm

=====

(Q)
A relaxed B4SbOs crystal. Source: OQMD, functional GGA-PBE.

```
B4SbOs
1.0
2.994 0.000 0.000
-1.497 2.593 0.000
0.000 0.000 8.488
B Sb Os
4 1 1
Direct
0.333 0.667 0.201
0.333 0.667 0.799
0.667 0.333 0.201
0.667 0.333 0.799
0.000 0.000 0.500
0.000 0.000 0.000
```

Summary:
* size of the total moment: 0.01 μB per formula unit
* symmetry: P6/mmm

=====

Energies relative to the minimum, meV per atom: (P) 255; (Q) 0